Entry 1:
## PaBe5Fe7 (PBE)

Data for PaBe5Fe7 after structural relaxation.

Structure (extended XYZ):
```
13
Lattice="-3.855 -1.886 1.111 0.793 -4.516 3.930 -2.355 2.523 4.955" Properties=species:S:1:pos:R:3 pbc="T T T"
Pa -3.847 -1.886 1.136
Be -2.323 -4.156 6.973
Be -0.405 -3.218 6.421
Be -3.862 -0.714 7.475
Be -1.944 0.224 6.922
Be -4.041 -2.910 7.570
Fe -3.031 -1.924 3.903
Fe -2.395 -1.954 6.061
Fe -5.103 -1.832 5.716
Fe -4.163 -3.932 5.410
Fe -1.385 -0.968 2.394
Fe -1.770 -4.039 4.690
Fe -3.648 0.161 5.302
```

Results
Magnetic moment: 10.80 Bohr magnetons per cell
Crystal system: orthorhombic



Entry 2:
## ZrTaTe2 (PBE)

Data for ZrTaTe2 after structural relaxation.

Structure (extended XYZ):
```
4
Lattice="3.684 0.000 0.000 0.000 5.559 0.000 0.000 0.000 4.453" Properties=species:S:1:pos:R:3 pbc="T T T"
Ta 0.000 2.779 2.227
Te 0.000 0.000 0.000
Te 1.842 2.779 0.000
Zr 1.842 0.000 2.227
```

Results
Formation energy without anion corrections: 0.17 eV per atom
Magnetic moment: 0.00 Bohr magnetons per cell
Crystal system: orthorhombic



Entry 3:
## CaMnCl (PBE)

Data for CaMnCl after structural relaxation.

Structure (extended XYZ):
```
3
Lattice="5.044 0.000 0.000 2.522 4.368 0.000 2.522 1.456 4.118" Properties=species:S:1:pos:R:3 pbc="T T T"
Ca 7.566 4.368 3.089
Mn 5.044 2.912 2.059
Cl 0.000 0.000 0.000
```

Results
Formation energy without anion corrections: 0.11 eV per atom
Magnetic moment: 4.04 Bohr magnetons per cell
Crystal system: cubic



Entry 4:
## Ba6Ag3Hg (PBE)

Data for Ba6Ag3Hg after structural relaxation.

Structure (extended XYZ):
```
20
Lattice="-3.832 -2.769 0.393 -2.626 1.846 -12.588 9.135 -12.341 2.115" Properties=species:S:1:pos:R:3 pbc="T T T"
Ba 1.436 -8.718 -4.474
Ba 1.242 -4.546 -5.606
Ba -4.211 -1.701 -10.094
Ba 6.889 -11.562 0.014
Ba -3.135 -2.467 -4.998
Ba 5.812 -10.796 -5.082
Ba -1.935 -4.627 -8.515
Ba 4.612 -8.636 -1.565
Ba 0.730 -7.128 -0.158
Ba 1.948 -6.136 -9.922
Ba 2.243 -10.414 -8.553
Ba 0.434 -2.849 -1.528
Ag 4.011 -11.968 -2.268
Ag -1.334 -1.296 -7.813
Ag 0.155 -7.344 -7.288
Ag 2.523 -5.919 -2.792
Ag -2.833 -2.250 -0.529
Ag 5.511 -11.013 -9.551
Hg 3.530 -10.848 0.924
Hg -0.852 -2.415 -11.005
```

Results
Magnetic moment: 0.00 Bohr magnetons per cell
Crystal system: monoclinic



Entry 5:
## LaYPb3 (PBE)

Data for LaYPb3 after structural relaxation.

Structure (extended XYZ):
```
5
Lattice="5.951 0.000 0.000 0.000 5.951 0.000 0.000 0.000 5.951" Properties=species:S:1:pos:R:3 pbc="T T T"
Pb 0.000 2.976 0.000
Pb 0.000 0.000 2.976
Pb 2.976 0.000 0.000
Y 2.976 2.976 2.976
La 0.000 0.000 0.000
```

Results
Magnetic moment: 0.00 Bohr magnetons per cell
Crystal system: cubic



Entry 6:
## CaDyTm2 (PBE)

Data for CaDyTm2 after structural relaxation.

Structure (extended XYZ):
```
4
Lattice="3.555 0.000 0.000 1.778 3.079 0.000 1.778 1.026 11.924" Properties=species:S:1:pos:R:3 pbc="T T T"
Ca 3.555 2.053 5.940
Dy 3.555 2.053 0.016
Tm 1.778 1.026 9.125
Tm 1.778 1.026 2.804
```

Results
Magnetic moment: 0.00 Bohr magnetons per cell
Crystal system: trigonal



Entry 7:
## Pa3InSe8 (PBE)

Data for Pa3InSe8 after structural relaxation.

Structure (extended XYZ):
```
24
Lattice="8.413 0.000 0.000 -4.207 7.286 0.000 0.000 0.000 13.691" Properties=species:S:1:pos:R:3 pbc="T T T"
Pa 4.207 4.862 9.795
Pa 2.099 1.212 9.795
Pa 6.314 1.212 9.795
Pa -2.107 6.074 2.950
Pa 2.107 6.074 2.950
Pa 0.000 2.424 2.950
In 4.207 2.429 13.313
In 0.000 4.858 6.468
Se 4.207 5.019 1.526
Se 2.255 3.556 11.284
Se 4.207 2.429 8.281
Se 0.000 0.000 11.315
Se 0.000 0.000 4.469
Se 1.964 1.134 1.526
Se 6.158 3.556 11.284
Se 4.207 0.175 11.284
Se -2.243 6.153 8.372
Se 6.450 1.134 1.526
Se 0.000 7.111 4.438
Se -1.952 3.731 4.438
Se 0.000 4.858 1.436
Se 2.243 6.153 8.372
Se 1.952 3.731 4.438
Se 0.000 2.267 8.372
```

Results
Formation energy without anion corrections: -1.16 eV per atom
Magnetic moment: 0.00 Bohr magnetons per cell
Crystal system: hexagonal



Entry 8:
## Sb2RuF2 (PBE)

Data for Sb2RuF2 after structural relaxation.

Structure (extended XYZ):
```
10
Lattice="7.342 0.000 0.000 0.000 7.342 0.000 0.000 0.000 3.459" Properties=species:S:1:pos:R:3 pbc="T T T"
Sb 1.832 5.502 0.000
Sb 5.502 5.510 0.000
Sb 5.510 1.839 0.000
Sb 1.839 1.832 0.000
F 0.842 4.513 1.729
F 4.513 6.499 1.729
F 6.499 2.828 1.729
F 2.828 0.842 1.729
Ru 0.000 0.000 0.000
Ru 3.671 3.671 0.000
```

Results
Formation energy without anion corrections: -0.71 eV per atom
Magnetic moment: 0.00 Bohr magnetons per cell
Crystal system: tetragonal



Entry 9:
## Na3NpO6 (PBE)

Data for Na3NpO6 after structural relaxation.

Structure (extended XYZ):
```
20
Lattice="5.834 0.000 0.000 -2.917 5.052 0.000 0.000 0.000 10.254" Properties=species:S:1:pos:R:3 pbc="T T T"
Na 0.000 0.000 5.127
Na 0.000 0.000 0.000
Na 2.917 1.684 0.697
Na 0.000 3.368 5.824
Na 0.000 3.368 9.557
Na 2.917 1.684 4.430
Np 2.917 1.684 7.690
Np 0.000 3.368 2.563
O 3.627 3.065 6.485
O 1.366 1.609 6.485
O -0.710 1.987 1.358
O 0.710 1.987 3.769
O 3.758 0.379 6.485
O 1.551 3.444 1.358
O -1.551 3.444 3.769
O 2.207 3.065 8.896
O -0.841 4.674 1.358
O 4.468 1.609 8.896
O 0.841 4.674 3.769
O 2.076 0.379 8.896
```

Results
Formation energy without anion corrections: -1.78 eV per atom
Magnetic moment: 4.19 Bohr magnetons per cell
Crystal system: hexagonal



Entry 10:
## KHgBi (PBE)

Data for KHgBi after structural relaxation.

Structure (extended XYZ):
```
6
Lattice="-2.293 1.258 -2.382 -4.844 -3.429 2.853 0.671 8.592 3.890" Properties=species:S:1:pos:R:3 pbc="T T T"
K -3.692 3.128 3.308
K -1.867 7.150 3.674
Hg -5.466 6.201 4.011
Hg -2.386 5.334 0.588
Bi -3.114 2.280 -0.324
Bi -5.410 0.663 1.033
```

Results
Magnetic moment: 0.00 Bohr magnetons per cell
Crystal system: monoclinic



Entry 11:
## Mg2SbPtO6 (PBE)

Data for Mg2SbPtO6 after structural relaxation.

Structure (extended XYZ):
```
10
Lattice="-0.126 0.777 4.345 -4.514 -3.208 0.443 3.235 -4.429 0.887" Properties=species:S:1:pos:R:3 pbc="T T T"
Mg -2.376 -0.875 4.296
Mg 1.499 -1.486 4.517
Sb -0.075 0.465 2.596
Pt -0.723 -3.303 3.545
O -0.407 -1.292 3.551
O 1.245 -3.553 4.004
O -0.662 -3.684 1.417
O -0.021 0.130 0.726
O -1.060 -5.191 4.230
O -2.712 -2.930 3.777
```

Results
Formation energy without anion corrections: -1.23 eV per atom
Magnetic moment: 0.00 Bohr magnetons per cell
Crystal system: tetragonal



Entry 12:
## NaYHo (PBE)

Data for NaYHo after structural relaxation.

Structure (extended XYZ):
```
6
Lattice="-1.488 0.485 -3.816 -3.528 -1.801 1.147 -4.346 10.436 3.021" Properties=species:S:1:pos:R:3 pbc="T T T"
Na 0.000 0.000 0.000
Na -2.508 -0.658 -1.334
Ho -4.253 5.076 2.304
Ho -2.601 4.702 -0.617
Y -2.907 1.843 1.368
Y -3.947 7.935 0.319
```

Results
Magnetic moment: 0.00 Bohr magnetons per cell
Crystal system: tetragonal



| no. | raw total energy (eV/atom) |
| --- | --- |
| 1 | -6.90 |
| 2 | -6.50 |
| 3 | -4.23 |
| 4 | -2.27 |
| 5 | -4.01 |
| 6 | -3.81 |
| 7 | -6.09 |
| 8 | -4.97 |
| 9 | -6.44 |
| 10 | -1.99 |
| 11 | -5.54 |
| 12 | -3.83 |